No. 1
Y2MgBi (GGA-PBE, relaxed); ΔE_f = -256 meV/atom; total magnetization = 0.000 μB per atom; energy above the most stable polymorph in this dataset = 0.182 eV per atom
1.0
4.220 0.000 0.000
-2.110 3.654 0.000
0.000 0.000 24.995
Y Mg Bi
6 3 3
Cartesian
0.000 0.000 6.061
0.000 0.000 18.934
0.000 2.436 10.602
0.000 2.436 22.724
2.110 1.218 2.271
2.110 1.218 14.392
0.000 0.000 0.000
0.000 2.436 16.663
2.110 1.218 8.332
0.000 0.000 12.497
0.000 2.436 4.166
2.110 1.218 20.829



No. 2
Y2ScMn (GGA-PBE, relaxed); ΔE_f = 111 meV/atom; total magnetization = 0.661 μB per atom; energy above the most stable polymorph in this dataset = 0.000 eV per atom
1.0
3.555 0.000 0.000
0.000 3.555 0.000
0.000 0.000 8.008
Y Sc Mn
2 1 1
Cartesian
0.000 0.000 0.000
1.778 1.778 2.617
1.778 1.778 5.756
0.000 0.000 4.452



No. 3
Dy8ScTl6 (GGA-PBE, relaxed); ΔE_f = -121 meV/atom; total magnetization = 0.000 μB per atom
1.0
4.516 2.608 6.477
-4.516 2.608 6.477
0.000 -5.215 6.477
Dy Sc Tl
8 1 6
Cartesian
-1.513 -2.614 7.602
0.000 0.000 3.224
-3.020 0.004 11.829
-1.507 2.618 7.602
1.507 -2.618 11.829
3.020 -0.004 7.602
0.000 0.000 16.207
1.513 2.614 11.829
0.000 0.000 9.715
-2.949 -0.002 8.490
-1.473 -2.555 10.941
1.476 -2.553 8.490
-1.476 2.553 10.941
1.473 2.555 8.490
2.949 0.002 10.941



No. 4
LaY2Sc (GGA-PBE, relaxed); ΔE_f = 57 meV/atom; total magnetization = 0.000 μB per atom; energy above the most stable polymorph in this dataset = 0.023 eV per atom
1.0
3.564 0.000 0.000
-1.782 3.086 0.000
0.000 0.000 34.171
La Y Sc
3 6 3
Cartesian
0.000 0.000 0.000
0.000 2.057 22.781
1.782 1.029 11.390
0.000 0.000 17.323
0.000 0.000 25.798
0.000 2.057 5.932
0.000 2.057 14.407
1.782 1.029 3.017
1.782 1.029 28.713
0.000 0.000 8.620
0.000 2.057 31.401
1.782 1.029 20.011



No. 5
Mn2HgAs2 (GGA-PBE, relaxed); ΔE_f = 61 meV/atom; total magnetization = 1.189 μB per atom; energy above the most stable polymorph in this dataset = 0.003 eV per atom
1.0
7.277 0.000 0.000
0.000 7.277 0.000
0.000 0.000 3.260
Mn Hg As
4 2 4
Cartesian
0.935 2.703 0.000
2.703 6.342 0.000
4.573 0.935 0.000
6.342 4.573 0.000
0.000 0.000 0.000
3.638 3.638 0.000
1.097 4.736 1.630
2.541 1.097 1.630
4.736 6.179 1.630
6.179 2.541 1.630



No. 6
Cr2TcRuN (GGA-PBE, relaxed); formation energy from raw total energies = -0.081 eV per atom; total magnetization = 0.209 μB per atom
1.0
3.849 0.000 0.000
0.000 3.849 0.000
0.000 0.000 3.984
Cr Tc Ru N
2 1 1 1
Cartesian
0.000 1.925 0.000
1.925 0.000 0.000
0.000 0.000 1.992
1.925 1.925 1.992
0.000 0.000 0.000



Q: Which of these has the highest total magnetization?
A: Mn2HgAs2